Material: Ac2TbNdSe5
Method: DFT, PBE
State: relaxed

Values from the calculation:
Symmetry: P4/mmm, No. 123
Uncorrected formation energy (meV/atom): -1477
Total magnetization (μB per formula unit): 0.00
DOS(E_F) (states/eV per atom): 0.556
Calculated density (g cm⁻³): 6.44
Final energy (eV/atom): -5.37

Geometry as POSCAR:
```
Ac2TbNdSe5
1.0
5.174 0.000 0.000
0.000 5.174 0.000
0.000 0.000 11.092
Ac Tb Nd Se
2 1 1 5
Cartesian
0.000 0.000 2.332
0.000 0.000 8.761
2.587 2.587 0.000
2.587 2.587 5.546
0.000 0.000 5.546
0.000 2.587 0.000
2.587 0.000 0.000
2.587 2.587 2.791
2.587 2.587 8.301
```



Material: AcTb2Nd3Se6
Method: DFT, PBE
State: relaxed

Values from the calculation:
Symmetry: C2/m, No. 12
Uncorrected formation energy (meV/atom): -1808
Total magnetization (μB per formula unit): 0.00
DOS(E_F) (states/eV per atom): 0.483
Calculated density (g cm⁻³): 7.52
Final energy (eV/atom): -5.86

Geometry as POSCAR:
```
AcTb2Nd3Se6
1.0
3.655 -6.355 0.000
3.655 6.355 0.000
-2.460 0.000 6.902
Ac Tb Nd Se
1 2 3 6
Cartesian
0.000 0.000 0.000
3.655 2.124 0.000
3.655 -2.124 0.000
2.426 4.342 3.451
2.426 0.000 3.451
2.426 -4.342 3.451
1.271 2.221 1.718
0.103 0.000 5.244
1.271 -2.221 1.718
3.580 2.221 5.184
4.748 0.000 1.658
3.580 -2.221 5.184
```



Material: AcTb3Nd2Se6
Method: DFT, PBE
State: relaxed

Values from the calculation:
Symmetry: C2/m, No. 12
Uncorrected formation energy (meV/atom): -1805
Total magnetization (μB per formula unit): 0.00
DOS(E_F) (states/eV per atom): 0.472
Calculated density (g cm⁻³): 7.72
Final energy (eV/atom): -5.84

Geometry as POSCAR:
```
AcTb3Nd2Se6
1.0
3.596 -6.261 0.000
3.596 6.261 0.000
-2.418 0.000 7.000
Ac Tb Nd Se
1 3 2 6
Cartesian
0.000 0.000 0.000
2.387 4.204 3.500
2.387 0.000 3.500
2.387 -4.204 3.500
3.596 2.103 0.000
3.596 -2.103 0.000
1.220 2.128 1.882
0.037 0.000 5.144
1.220 -2.128 1.882
3.553 2.128 5.118
4.736 0.000 1.856
3.553 -2.128 5.118
```



Material: Ac2TbNdSe4
Method: DFT, PBE
State: relaxed

Values from the calculation:
Symmetry: P2/m, No. 10
Uncorrected formation energy (meV/atom): -1826
Total magnetization (μB per formula unit): 0.00
DOS(E_F) (states/eV per atom): 0.539
Calculated density (g cm⁻³): 7.85
Final energy (eV/atom): -5.77

Geometry as POSCAR:
```
Ac2TbNdSe4
1.0
7.371 0.000 0.000
0.000 4.222 0.000
-2.428 0.000 7.296
Ac Tb Nd Se
2 1 1 4
Cartesian
0.000 0.000 0.000
3.685 2.111 0.000
-1.214 2.111 3.648
2.471 0.000 3.648
-0.024 0.000 5.295
1.193 2.111 1.971
3.749 2.111 5.325
4.966 0.000 2.002
```



Material: AcNdTe2Se
Method: DFT, PBE
State: relaxed

Values from the calculation:
Symmetry: P4/nmm, No. 129
Uncorrected formation energy (meV/atom): -1527
Total magnetization (μB per formula unit): 0.00
DOS(E_F) (states/eV per atom): 0.467
Calculated density (g cm⁻³): 6.96
Final energy (eV/atom): -5.26

Geometry as POSCAR:
```
AcNdTe2Se
1.0
4.561 0.000 0.000
0.000 4.561 0.000
0.000 0.000 16.175
Ac Nd Te Se
2 2 4 2
Cartesian
1.140 1.140 2.141
3.421 3.421 14.033
1.140 1.140 9.612
3.421 3.421 6.563
1.140 1.140 6.374
1.140 1.140 12.756
3.421 3.421 3.419
3.421 3.421 9.800
1.140 3.421 0.000
3.421 1.140 0.000
```



Material: AcNdTeSe
Method: DFT, PBE
State: relaxed

Values from the calculation:
Symmetry: R3m, No. 160
Uncorrected formation energy (meV/atom): -1657
Total magnetization (μB per formula unit): 0.00
DOS(E_F) (states/eV per atom): 0.364
Calculated density (g cm⁻³): 7.51
Energy relative to the lowest polymorph listed for this composition (eV per formula unit): 0.00
Final energy (eV/atom): -5.53

Geometry as POSCAR:
```
AcNdTeSe
1.0
2.233 1.289 7.395
-2.233 1.289 7.395
0.000 -2.578 7.395
Ac Nd Te Se
1 1 1 1
Cartesian
0.000 0.000 0.000
0.000 0.000 11.519
0.000 0.000 16.951
0.000 0.000 5.641
```



Question: Which formula does entry 2 have?
Answer: AcTb2Nd3Se6